First-principles (PBE) data for crystalline Zn2PbC at its relaxed geometry, as listed in Alexandria via LeMat-Bulk.

size of the total moment: 0.00 μB/f.u.
uncorrected energy: -3.242 eV per atom

Geometry as CIF:
```
data_Zn2PbC
_cell_length_a 6.232
_cell_length_b 6.232
_cell_length_c 8.833
_cell_angle_alpha 90.00
_cell_angle_beta 90.00
_cell_angle_gamma 90.00
_symmetry_space_group_name_H-M 'I -4 2 d'
_symmetry_Int_Tables_number 122
_symmetry_space_group_name_Hall 'I -4 2bw'
loop_
_atom_site_label
_atom_site_fract_x
_atom_site_fract_y
_atom_site_fract_z
Zn1 0.002 0.750 0.125
Pb1 0.000 0.000 0.500
C1 0.000 0.000 0.000
```

***

First-principles (PBE) data for crystalline Li6SiPt2 at its relaxed geometry, as listed in Alexandria via LeMat-Bulk.

formation energy from raw total energies: -0.422 eV per atom
size of the total moment: 0.00 μB/f.u.

Geometry as CIF:
```
data_Li6SiPt2
_cell_length_a 4.4381
_cell_length_b 4.4381
_cell_length_c 25.5795
_cell_angle_alpha 90.00
_cell_angle_beta 90.00
_cell_angle_gamma 120.00
_symmetry_space_group_name_H-M 'R -3 m'
_symmetry_Int_Tables_number 166
_symmetry_space_group_name_Hall '-R 3 2"'
loop_
_atom_site_label
_atom_site_fract_x
_atom_site_fract_y
_atom_site_fract_z
Li1 0.0000 0.0000 0.0753
Li2 0.0000 0.0000 0.2026
Li3 0.0000 0.0000 0.3071
Si1 0.0000 0.0000 0.5000
Pt1 0.0000 0.0000 0.4115
```

***

First-principles (PBE) data for crystalline TcBr4Cl at its relaxed geometry, as listed in Alexandria via LeMat-Bulk.

formation energy from raw total energies: 0.952 eV per atom
size of the total moment: 4.40 μB/f.u.

Geometry as CIF:
```
data_TcBr4Cl
_cell_length_a 8.616
_cell_length_b 8.616
_cell_length_c 8.616
_cell_angle_alpha 90.00
_cell_angle_beta 90.00
_cell_angle_gamma 90.00
_symmetry_space_group_name_H-M 'F -4 3 m'
_symmetry_Int_Tables_number 216
_symmetry_space_group_name_Hall 'F -4 2 3'
loop_
_atom_site_label
_atom_site_fract_x
_atom_site_fract_y
_atom_site_fract_z
Tc1 0.000 0.000 0.000
Br1 0.125 0.125 0.625
Cl1 0.250 0.250 0.250
```